1.
GGA-PBE EuAl, relaxed; DOS at the Fermi energy = 1.10 states/eV per atom; E = -7.28 eV per atom; total moment = 7.31 μB per formula unit
1.0
5.728 0.000 0.000
0.000 6.178 -0.033
0.000 -1.247 6.050
Eu Al
4 4
direct
0.750 0.169 0.525 Eu
0.250 0.831 0.475 Eu
0.750 0.525 0.169 Eu
0.250 0.475 0.831 Eu
0.750 0.705 0.705 Al
0.250 0.295 0.295 Al
0.500 0.000 0.000 Al
0.000 0.000 0.000 Al


2.
GGA-PBE Eu3AlF, relaxed; DOS at the Fermi energy = 0.66 states/eV per atom; E = -8.40 eV per atom; total moment = 21.63 μB per formula unit; formation energy (no corrections) = -1.111 eV per atom
1.0
-1.051 4.862 -1.149
-4.949 -1.172 -0.435
-0.678 1.024 4.955
Eu Al F
3 1 1
direct
0.000 0.500 0.000 Eu
0.000 0.000 0.500 Eu
0.500 0.000 0.000 Eu
0.500 0.500 0.500 Al
0.000 0.000 0.000 F


Copy entry 2 word for word.
GGA-PBE Eu3AlF, relaxed; DOS at the Fermi energy = 0.66 states/eV per atom; E = -8.40 eV per atom; total moment = 21.63 μB per formula unit; formation energy (no corrections) = -1.111 eV per atom
1.0
-1.051 4.862 -1.149
-4.949 -1.172 -0.435
-0.678 1.024 4.955
Eu Al F
3 1 1
direct
0.000 0.500 0.000 Eu
0.000 0.000 0.500 Eu
0.500 0.000 0.000 Eu
0.500 0.500 0.500 Al
0.000 0.000 0.000 F


What is the total moment in the first record? 7.31 μB per formula unit